This record from Alexandria describes SrAlI3 after structural relaxation. The functional is PBE.

Unit cell a=6.384 b=6.384 c=6.384 alpha=90.00 beta=90.00 gamma=90.00
Element x y z (fractional)
I: 0.000 0.500 0.000
I: 0.500 0.000 0.000
I: 0.000 0.000 0.500
Al: 0.500 0.500 0.500
Sr: 0.000 0.000 0.000

Values from the calculation:
Relative energy among the computed polymorphs = 0.0000 eV/atom
DOS(E_F) = 0.000 states/eV per atom
SG = Pm-3m
Calculated volume = 52.03 Å³ per atom
ΔE_f (raw) = -0.743 eV per atom